Record 1
Below is a geometry-optimized Fe2CuSn structure, with properties calculated at the PBE level.

Output
Calculated volume in Å³/cell: 124.6
Formation energy from the elements in meV per atom: 459.1
Final energy in eV/atom: -5.80

a b c (Å): 9.5625 9.5625 9.5625
angles (deg): 157.82 157.82 31.57
Atoms (fractional coordinates):
Fe (0.1174, 0.6250, 0.9924)
Fe (0.3750, 0.3674, 0.4924)
Fe (0.6326, 0.1250, 0.0076)
Fe (0.8750, 0.8826, 0.5076)
Cu (0.0000, 0.0000, 0.0000)
Cu (0.7500, 0.2500, 0.5000)
Sn (0.2500, 0.7500, 0.5000)
Sn (0.5000, 0.5000, 0.0000)



Record 2
Below is a geometry-optimized Pm2AuF structure, with properties calculated at the PBE level.

Output
ΔE to the lowest computed polymorph in meV per atom: 253.9
E_form (uncorrected) in eV per atom: -1.2486
Calculated volume in Å³/cell: 89.7
Final energy in eV/atom: -4.91

a b c (Å): 3.4299 3.4299 7.6209
angles (deg): 90.00 90.00 90.00
Atoms (fractional coordinates):
Pm (0.0000, 0.0000, 0.2497)
Pm (0.0000, 0.0000, 0.7503)
Au (0.5000, 0.5000, 0.0000)
F (0.5000, 0.5000, 0.5000)



Record 3
Below is a geometry-optimized KNaPa2Te5 structure, with properties calculated at the PBE level.

Output
E_form (uncorrected) in eV per atom: -0.8999
Calculated volume in Å³/cell: 617.5
Final energy in eV/atom: -5.02

a b c (Å): 10.5231 10.5231 10.5231
angles (deg): 132.71 132.71 69.11
Atoms (fractional coordinates):
K (0.2500, 0.2500, 0.0000)
K (0.7500, 0.7500, 0.0000)
Na (0.2500, 0.7500, 0.5000)
Na (0.7500, 0.2500, 0.5000)
Pa (0.1507, 0.6507, 0.8015)
Pa (0.3493, 0.1507, 0.5000)
Pa (0.6507, 0.8493, 0.5000)
Pa (0.8493, 0.3493, 0.1985)
Te (0.0000, 0.0000, 0.0000)
Te (0.0366, 0.2317, 0.5000)
Te (0.2317, 0.7317, 0.1951)
Te (0.2683, 0.4634, 0.5000)
Te (0.4634, 0.9634, 0.1951)
Te (0.5000, 0.5000, 0.0000)
Te (0.5366, 0.0366, 0.8049)
Te (0.7317, 0.5366, 0.5000)
Te (0.7683, 0.2683, 0.8049)
Te (0.9634, 0.7683, 0.5000)



Which of these has the highest final energy? Pm2AuF



Among the records above, which one has the lowest calculated volume? Pm2AuF